# CoAgMo2

Crystalline CoAgMo2 at its relaxed geometry (GGA-PBE, the Alexandria database).

abc: 2.7116 2.7116 8.1571
angles: 90.00 90.00 90.00
Last column: nearest neighbours and their distance in Å.
Fractional coordinates of all 4 atoms:
Co (0.0000, 0.0000, 0.0000)  4 Mo 2.52, 4 Co 2.71, 4 Ag 2.78
Ag (0.5000, 0.5000, 0.7525)  4 Ag 2.71, 4 Co 2.78, 4 Mo 2.96
Mo (0.0000, 0.0000, 0.4759)  8 Mo 2.71-2.96, 4 Ag 2.96
Mo (0.5000, 0.5000, 0.2001)  4 Co 2.52, 4 Mo 2.71

Magnetic moment, μB/atom: 0.140
Space group: P4mm (99)
Raw total energy, hartree per atom: -0.2793